# 1
## MgCdSnHg (PBE)

Data for crystalline MgCdSnHg at its relaxed geometry.

Cell: 7.264 7.264 7.264 Å, 90.00 90.00 90.00°
Space group F-43m (No. 216)
Asymmetric unit:
1 Mg 0.000 0.000 0.000
2 Cd 0.000 0.000 0.500
3 Sn 0.250 0.250 0.750
4 Hg 0.250 0.250 0.250

Computed properties:
VASP energy (eV for the cell shown): -27.7
Formation enthalpy at 0 K (eV/atom): -0.029
D(E_F) (states/eV/f.u.): 1.23
Energy above the most stable polymorph in this dataset (meV per atom): 18
Volume (A^3/atom): 24.0
Calculated density (g/cm3): 7.90

# 2
## Sr2TcRu (PBE)

Data for crystalline Sr2TcRu at its relaxed geometry.

Cell: 4.563 4.563 4.597 Å, 90.00 90.00 90.00°
Space group P4/mmm (No. 123)
Asymmetric unit:
1 Sr 0.000 0.500 0.000
2 Tc 0.000 0.000 0.500
3 Ru 0.500 0.500 0.500

Computed properties:
VASP energy (eV for the cell shown): -18.9
Formation enthalpy at 0 K (eV/atom): 1.024
D(E_F) (states/eV/f.u.): 4.03
Energy above the most stable polymorph in this dataset (meV per atom): 847
Volume (A^3/atom): 23.9
Calculated density (g/cm3): 6.49